Compound: K2IrOs
Source: Alexandria
Functional: GGA-PBE
Structure: optimized geometry

```
K2IrOs
1.0
-2.891 6.983 -8.653
-5.151 5.332 -8.777
-5.108 7.519 -7.027
Ir K Os
1 2 1
Direct
0.750 0.750 0.750 Ir
0.001 0.001 0.001 K
0.499 0.499 0.499 K
0.250 0.250 0.250 Os
```

Properties
Energy   -4.537 eV per atom
Energy of formation from the pure elements   1035 meV/atom
Magnetization   0.000 μB/atom
Distance to the lowest polymorph of the same formula   0.505 eV/atom



Compound: K2IrOs
Source: Alexandria
Functional: GGA-PBE
Structure: optimized geometry

```
K2IrOs
1.0
-2.275 -2.651 -1.542
3.013 -2.289 -0.511
-0.829 -2.216 5.034
Ir K Os
1 2 1
Direct
0.000 0.500 0.500 Ir
0.000 0.000 0.000 K
0.500 0.500 0.000 K
0.500 0.000 0.500 Os
```

Properties
Energy   -4.402 eV per atom
Energy of formation from the pure elements   1169 meV/atom
Magnetization   0.000 μB/atom
Distance to the lowest polymorph of the same formula   0.639 eV/atom



Compound: K3IrOs
Source: Alexandria
Functional: GGA-PBE
Structure: optimized geometry

```
K3IrOs
1.0
6.039 0.000 0.000
0.000 6.039 0.000
0.000 0.000 6.039
K Ir Os
3 1 1
Direct
0.000 0.500 0.000 K
0.000 0.000 0.500 K
0.500 0.000 0.000 K
0.000 0.000 0.000 Ir
0.500 0.500 0.500 Os
```

Properties
Energy   -2.760 eV per atom
Energy of formation from the pure elements   1917 meV/atom
Magnetization   0.432 μB/atom



Compound: K2IrOs
Source: Alexandria
Functional: GGA-PBE
Structure: optimized geometry

```
K2IrOs
1.0
-0.625 -2.708 0.397
1.173 -0.822 -3.761
9.460 -1.697 3.322
Ir K Os
1 2 1
Direct
0.500 0.500 0.664 Ir
0.000 0.000 0.909 K
0.500 0.500 0.339 K
0.000 0.000 0.588 Os
```

Properties
Energy   -5.042 eV per atom
Energy of formation from the pure elements   530 meV/atom
Magnetization   0.000 μB/atom
Distance to the lowest polymorph of the same formula   0.000 eV/atom



Compound: K2IrOs
Source: Alexandria
Functional: GGA-PBE
Structure: optimized geometry

```
K2IrOs
1.0
-2.626 1.992 -3.675
-3.620 -2.591 -2.133
-4.712 1.272 0.741
Ir K Os
1 2 1
Direct
0.500 0.500 0.500 Ir
0.000 0.000 0.000 K
0.250 0.250 0.250 K
0.750 0.750 0.750 Os
```

Properties
Energy   -4.018 eV per atom
Energy of formation from the pure elements   1553 meV/atom
Magnetization   0.570 μB/atom
Distance to the lowest polymorph of the same formula   1.023 eV/atom



Compound: KIrOs3
Source: Alexandria
Functional: GGA-PBE
Structure: optimized geometry

```
KIrOs3
1.0
-2.213 -2.507 -3.472
2.583 -3.899 1.168
-3.416 -1.325 3.133
K Ir Os
1 1 3
Direct
0.500 0.500 0.500 K
0.000 0.000 0.000 Ir
0.000 0.500 0.000 Os
0.000 0.000 0.500 Os
0.500 0.000 0.000 Os
```

Properties
Energy   -6.579 eV per atom
Energy of formation from the pure elements   2151 meV/atom
Magnetization   0.000 μB/atom
Distance to the lowest polymorph of the same formula   0.000 eV/atom